{"formula": "HgPt2Rh", "functional": "PBE", "state": "optimized geometry", "lattice_angstrom": [[9.302, -1.435, 0.008], [9.302, 1.435, 0.008], [9.078, 0.000, 2.483]], "species": ["Hg", "Pt", "Pt", "Rh"], "frac_coords": [[0.248, 0.248, 0.248], [0.752, 0.752, 0.752], [0.003, 0.003, 0.003], [0.497, 0.497, 0.497]], "magmom_total_mub_per_cell": 1.27, "e_form_mev_per_atom": 127, "n_ef_per_ev_cell": 5.87}

=====

{"formula": "K2TaMo", "functional": "PBE", "state": "optimized geometry", "lattice_angstrom": [[6.439, 0.000, 0.000], [0.000, 2.888, 0.012], [0.000, 0.760, 5.098]], "species": ["Mo", "K", "Ta", "K"], "frac_coords": [[0.500, 0.250, 0.250], [0.000, 0.008, 0.003], [0.500, 0.750, 0.750], [0.000, 0.492, 0.497]], "magmom_total_mub_per_cell": 0.03, "relative_energy_ev_per_fu": 2.387, "e_form_mev_per_atom": 1371, "n_ef_per_ev_cell": 4.51}

=====

{"formula": "BiPS2O", "functional": "PBE", "state": "optimized geometry", "lattice_angstrom": [[4.491, 0.000, 0.000], [0.000, 4.491, 0.000], [0.000, 0.000, 4.225]], "species": ["S", "Bi", "O", "S", "P"], "frac_coords": [[0.500, 0.000, 0.000], [0.500, 0.500, 0.500], [0.000, 0.000, 0.000], [0.000, 0.500, 0.000], [0.000, 0.000, 0.500]], "magmom_total_mub_per_cell": 0.00, "e_form_raw_ev_per_atom": 0.4728, "relative_energy_ev_per_fu": 0.000, "n_ef_per_ev_cell": 1.78}

=====

{"formula": "Li2La3Pb4", "functional": "PBE", "state": "optimized geometry", "lattice_angstrom": [[4.813, 0.000, 0.000], [-2.407, 6.023, -0.088], [0.000, -2.551, 8.914]], "species": ["La", "Pb", "Pb", "Li", "La", "La", "Li", "Pb", "Pb"], "frac_coords": [[0.371, 0.741, 0.311], [0.080, 0.160, 0.388], [0.296, 0.593, 0.923], [0.310, 0.621, 0.630], [0.000, 0.000, 0.000], [0.629, 0.259, 0.689], [0.690, 0.379, 0.370], [0.920, 0.840, 0.612], [0.704, 0.407, 0.077]], "magmom_total_mub_per_cell": 0.00, "e_form_mev_per_atom": -544, "n_ef_per_ev_cell": 4.08}

=====

Copy entry 1 word for word.
{"formula": "HgPt2Rh", "functional": "PBE", "state": "optimized geometry", "lattice_angstrom": [[9.302, -1.435, 0.008], [9.302, 1.435, 0.008], [9.078, 0.000, 2.483]], "species": ["Hg", "Pt", "Pt", "Rh"], "frac_coords": [[0.248, 0.248, 0.248], [0.752, 0.752, 0.752], [0.003, 0.003, 0.003], [0.497, 0.497, 0.497]], "magmom_total_mub_per_cell": 1.27, "e_form_mev_per_atom": 127, "n_ef_per_ev_cell": 5.87}

=====

Question: Which formula does entry 1 have?
Answer: HgPt2Rh